[1]
A PBEsol-optimized structure of ZnP2SeS. Source: Alexandria via LeMat-Bulk, functional meta-GGA SCAN.

abc: 4.6927 4.6927 4.7694
angles: 90.00 90.00 90.00
Space group P4/mmm (No. 123)
Unique sites:
Zn 0.0000 0.0000 0.0000 x1
P 0.0000 0.5000 0.5000 x2
Se 0.5000 0.5000 0.5000 x1
S 0.5000 0.5000 0.0000 x1

Output
The electronic total energy comes out at -11.645 eV per atom.


[2]
A PBEsol-optimized structure of Ba2CaHg. Source: Alexandria via LeMat-Bulk, functional meta-GGA SCAN.

abc: 6.0745 6.0745 8.6283
angles: 90.00 90.00 90.00
Space group I4/mmm (No. 139)
Unique sites:
Ba 0.0000 0.5000 0.2500 x4
Ca 0.0000 0.0000 0.0000 x2
Hg 0.0000 0.0000 0.5000 x2

Output
The energy of formation from the pure elements comes out at -0.142 eV per atom. Its relative energy among the computed polymorphs is 0.2041 eV per atom.


[3]
A PBEsol-optimized structure of Li2MgRh. Source: Alexandria via LeMat-Bulk, functional meta-GGA SCAN.

abc: 6.1581 6.1581 6.1581
angles: 90.00 90.00 90.00
Space group F-43m (No. 216)
Unique sites:
Li 0.0000 0.0000 0.0000 x4
Li 0.2500 0.2500 0.2500 x4
Mg 0.0000 0.0000 0.5000 x4
Rh 0.2500 0.2500 0.7500 x4

Output
The energy of formation from the pure elements comes out at -0.266 eV per atom.


[4]
A PBEsol-optimized structure of LiLa2Ag. Source: Alexandria via LeMat-Bulk, functional meta-GGA SCAN.

abc: 4.7915 3.7140 11.9404
angles: 90.00 90.00 90.00
Space group Amm2 (No. 38)
Unique sites:
Li 0.0000 0.0000 0.0000 x2
La 0.0000 0.0000 0.2815 x2
La 0.5000 0.0000 0.6004 x2
Ag 0.5000 0.0000 0.8799 x2

Output
The energy of formation from the pure elements comes out at -0.092 eV per atom. Its relative energy among the computed polymorphs is 0.0225 eV per atom.


[5]
A PBEsol-optimized structure of SrGa2S4. Source: Alexandria via LeMat-Bulk, functional meta-GGA SCAN.

abc: 12.1358 20.3805 20.7332
angles: 90.00 90.00 90.00
Space group Fddd (No. 70, origin choice 2)
Unique sites:
Sr 0.1250 0.1250 0.1250 x8
Sr 0.1250 0.1250 0.3732 x16
Sr 0.1250 0.1250 0.6250 x8
Ga 0.0856 0.3040 0.2498 x32
Ga 0.1238 0.2623 0.7506 x32
S 0.0014 0.9997 0.5830 x32
S 0.0012 0.9999 0.9167 x32
S 0.0029 0.3443 0.4989 x32
S 0.0156 0.0795 0.7512 x32

Output
The electronic total energy comes out at -14.696 eV per atom.


[6]
A PBEsol-optimized structure of RbSbSeN2. Source: Alexandria via LeMat-Bulk, functional meta-GGA SCAN.

abc: 4.3410 4.3410 5.3586
angles: 90.00 90.00 90.00
Space group P4/mmm (No. 123)
Unique sites:
Rb 0.0000 0.0000 0.0000 x1
Sb 0.5000 0.5000 0.5000 x1
Se 0.5000 0.5000 0.0000 x1
N 0.0000 0.5000 0.5000 x2

Output
The electronic total energy comes out at -18.541 eV per atom.


[7]
A PBEsol-optimized structure of Be3SiHg. Source: Alexandria via LeMat-Bulk, functional meta-GGA SCAN.

abc: 4.2608 4.2608 4.2608
angles: 90.00 90.00 90.00
Space group Pm-3m (No. 221)
Unique sites:
Be 0.0000 0.0000 0.5000 x3
Si 0.0000 0.0000 0.0000 x1
Hg 0.5000 0.5000 0.5000 x1

Output
Its relative energy among the computed polymorphs is 0.0000 eV per atom.


[8]
A PBEsol-optimized structure of Y3GaC. Source: Alexandria via LeMat-Bulk, functional meta-GGA SCAN.

abc: 4.8055 4.8055 4.8055
angles: 90.00 90.00 90.00
Space group Pm-3m (No. 221)
Unique sites:
Y 0.0000 0.0000 0.5000 x3
Ga 0.5000 0.5000 0.5000 x1
C 0.0000 0.0000 0.0000 x1

Output
The energy of formation from the pure elements comes out at -0.610 eV per atom.


[9]
A PBEsol-optimized structure of ReSbCl3. Source: Alexandria via LeMat-Bulk, functional meta-GGA SCAN.

abc: 5.3105 5.3105 5.3105
angles: 90.00 90.00 90.00
Space group Pm-3m (No. 221)
Unique sites:
Re 0.0000 0.0000 0.0000 x1
Sb 0.5000 0.5000 0.5000 x1
Cl 0.0000 0.5000 0.5000 x3

Output
The electronic total energy comes out at -25.573 eV per atom.


[10]
A PBEsol-optimized structure of KTlSb2. Source: Alexandria via LeMat-Bulk, functional meta-GGA SCAN.

abc: 3.3407 5.3572 6.8049
angles: 90.00 90.00 90.00
Space group Pmmm (No. 47)
Unique sites:
K 0.0000 0.0000 0.0000 x1
Tl 0.0000 0.0000 0.5000 x1
Sb 0.5000 0.5000 0.2859 x2

Output
Its relative energy among the computed polymorphs is 0.0380 eV per atom.


[11]
A PBEsol-optimized structure of LiBe4Zn. Source: Alexandria via LeMat-Bulk, functional meta-GGA SCAN.

abc: 6.1187 6.1187 6.1187
angles: 90.00 90.00 90.00
Space group F-43m (No. 216)
Unique sites:
Li 0.0000 0.0000 0.0000 x4
Be 0.1247 0.1247 0.3753 x16
Zn 0.2500 0.2500 0.7500 x4

Output
The energy of formation from the pure elements comes out at -0.050 eV per atom.


[12]
A PBEsol-optimized structure of K3VH6C4O13. Source: Alexandria via LeMat-Bulk, functional meta-GGA SCAN.

abc: 7.4090 7.8293 11.8680
angles: 89.46 84.84 70.53
Space group P-1 (No. 2)
Unique sites:
K 0.0830 0.2280 0.0332 x2
K 0.1008 0.4818 0.3265 x2
K 0.3187 0.7612 0.7230 x2
V 0.3338 0.3155 0.7857 x2
H 0.0374 0.0859 0.7835 x2
H 0.1012 0.7885 0.5119 x2
H 0.1185 0.1315 0.4906 x2
H 0.1469 0.9517 0.2578 x2
H 0.3764 0.0710 0.2391 x2
H 0.4661 0.1480 0.1335 x2
C 0.3340 0.6293 0.1223 x2
C 0.4002 0.7613 0.0446 x2
C 0.4056 0.8351 0.4232 x2
C 0.4250 0.3298 0.5461 x2
O 0.0125 0.2500 0.4883 x2
O 0.0425 0.9958 0.2081 x2
O 0.1734 0.5022 0.8386 x2
O 0.1959 0.5833 0.1007 x2
O 0.2191 0.1681 0.7766 x2
O 0.2778 0.9133 0.5001 x2
O 0.3123 0.4148 0.6324 x2
O 0.3222 0.8234 0.9580 x2
O 0.3593 0.1818 0.1945 x2
O 0.4044 0.3730 0.4467 x2
O 0.4110 0.8750 0.3187 x2
O 0.4371 0.5784 0.2057 x2
O 0.4548 0.2027 0.9215 x2

Output
The electronic total energy comes out at -8.376 eV per atom.


Number 1: theoretical density 3.769 g/cm³. Number 2: theoretical density 5.375 g/cm³. Number 3: theoretical density 4.013 g/cm³. Number 4: theoretical density 6.136 g/cm³. Number 5: theoretical density 3.682 g/cm³. Number 6: theoretical density 5.167 g/cm³. Number 7: theoretical density 5.489 g/cm³. Number 8: theoretical density 5.214 g/cm³. Number 9: theoretical density 4.594 g/cm³. Number 10: theoretical density 6.640 g/cm³. Number 11: theoretical density 3.143 g/cm³. Number 12: theoretical density 2.211 g/cm³.